# 1
{"formula": "Zn3CoAg", "functional": "GGA-PBE", "state": "optimized geometry", "lattice_angstrom": [[4.5304, 0.0000, 0.0000], [0.0000, 4.5304, 0.0000], [0.0000, 0.0000, 4.5304]], "species": ["Zn", "Zn", "Zn", "Co", "Ag"], "fractional_positions": [[0.0000, 0.0000, 0.5000], [0.5000, 0.0000, 0.0000], [0.0000, 0.5000, 0.0000], [0.0000, 0.0000, 0.0000], [0.5000, 0.5000, 0.5000]], "total_energy_ev_per_atom": -2.334, "e_above_lowest_polymorph_kj_per_mol_atoms": 0.00, "e_form_mev_per_atom": 421.6, "volume_a3_per_cell": 93, "spacegroup": "Pm-3m"}


# 2
{"formula": "La5ThCd4", "functional": "GGA-PBE", "state": "optimized geometry", "lattice_angstrom": [[-3.5755, -1.0200, -0.7849], [-0.5494, -0.8861, 3.6542], [-6.5767, 20.0705, 3.8779]], "species": ["Cd", "Cd", "Cd", "Cd", "Th", "La", "La", "La", "La", "La"], "fractional_positions": [[0.0000, 0.0000, 0.2091], [0.0000, 0.0000, 0.5956], [0.0000, 0.0000, 0.4044], [0.0000, 0.0000, 0.7909], [0.0000, 0.0000, 0.0000], [0.5000, 0.5000, 0.5000], [0.5000, 0.5000, 0.3072], [0.5000, 0.5000, 0.8904], [0.5000, 0.5000, 0.6928], [0.5000, 0.5000, 0.1096]], "total_energy_ev_per_atom": -3.822, "e_form_mev_per_atom": -250.4, "volume_a3_per_cell": 310, "spacegroup": "P4/mmm"}


# 3
{"formula": "MgNb2ZnH", "functional": "GGA-PBE", "state": "optimized geometry", "lattice_angstrom": [[3.9924, 0.0000, 0.0000], [0.0000, 3.9924, 0.0000], [0.0000, 0.0000, 4.5563]], "species": ["Nb", "Nb", "H", "Mg", "Zn"], "fractional_positions": [[0.5000, 0.0000, 0.0000], [0.0000, 0.5000, 0.0000], [0.0000, 0.0000, 0.0000], [0.0000, 0.0000, 0.5000], [0.5000, 0.5000, 0.5000]], "total_energy_ev_per_atom": -5.309, "e_above_lowest_polymorph_kj_per_mol_atoms": 0.00, "volume_a3_per_cell": 73, "spacegroup": "P4/mmm"}


# 4
{"formula": "SrSmReO6", "functional": "GGA-PBE", "state": "optimized geometry", "lattice_angstrom": [[5.6645, 0.0000, 0.0003], [2.8323, 4.9055, 0.0000], [-0.0002, 0.0002, 5.1890]], "species": ["O", "O", "O", "O", "O", "O", "Sr", "Re", "Sm"], "fractional_positions": [[0.6074, 0.0528, 0.2913], [0.0528, 0.6074, 0.7087], [0.3398, 0.0528, 0.7087], [0.3398, 0.6074, 0.2913], [0.6074, 0.3398, 0.7087], [0.0528, 0.3398, 0.2913], [0.0000, 0.0000, 0.0000], [0.3333, 0.3333, 0.5000], [0.6666, 0.6667, 0.5000]], "total_energy_ev_per_atom": -7.843, "volume_a3_per_cell": 144, "spacegroup": "P312"}


# 5
{"formula": "PuSb2Pt", "functional": "GGA-PBE", "state": "optimized geometry", "lattice_angstrom": [[-1.6612, -2.6948, 1.6859], [1.6573, -1.7444, 2.6597], [-3.7444, 4.9076, 7.9702]], "species": ["Pt", "Pu", "Sb", "Sb"], "fractional_positions": [[0.5000, 0.5000, 0.5000], [0.0000, 0.0000, 0.0000], [0.1072, 0.1072, 0.6785], [0.8928, 0.8928, 0.3215]], "total_energy_ev_per_atom": -7.203, "volume_a3_per_cell": 110, "spacegroup": "R-3m"}


# 6
{"formula": "SrTmSn", "functional": "GGA-PBE", "state": "optimized geometry", "lattice_angstrom": [[4.8880, -0.2359, -0.0509], [0.2353, 4.8875, -0.0515], [0.0901, 0.0831, 8.5140]], "species": ["Tm", "Tm", "Sn", "Sn", "Sr", "Sr"], "fractional_positions": [[0.3136, 0.8665, 0.9196], [0.8136, 0.3665, 0.9196], [0.3134, 0.3662, 0.6834], [0.8138, 0.8666, 0.1558], [0.8133, 0.8663, 0.5679], [0.3138, 0.3667, 0.2713]], "total_energy_ev_per_atom": -3.945, "e_form_mev_per_atom": -559.1, "volume_a3_per_cell": 204, "spacegroup": "P4/nmm"}


# 7
{"formula": "Tm5HfN6", "functional": "GGA-PBE", "state": "optimized geometry", "lattice_angstrom": [[-2.1284, 4.3141, -3.2782], [-4.1866, 2.7849, 2.9348], [1.3437, 4.5424, 3.3813]], "species": ["N", "N", "N", "N", "N", "N", "Tm", "Tm", "Tm", "Tm", "Tm", "Hf"], "fractional_positions": [[0.7577, 0.0808, 0.3206], [0.2423, 0.5986, 0.3206], [0.2423, 0.9192, 0.6794], [0.7577, 0.4014, 0.6794], [0.7572, 0.7603, 0.0000], [0.2428, 0.2397, 0.0000], [0.5000, 0.5000, 0.0000], [0.0000, 0.3334, 0.3332], [0.5000, 0.8335, 0.3331], [0.0000, 0.6666, 0.6668], [0.5000, 0.1665, 0.6669], [0.0000, 0.0000, 0.0000]], "total_energy_ev_per_atom": -8.713, "volume_a3_per_cell": 161, "spacegroup": "C2/m"}


# 8
{"formula": "Pm2HoCd", "functional": "GGA-PBE", "state": "optimized geometry", "lattice_angstrom": [[3.6824, 0.0000, 0.0000], [0.0000, 3.6824, 0.0000], [0.0000, 0.0000, 9.0065]], "species": ["Pm", "Pm", "Cd", "Ho"], "fractional_positions": [[0.0000, 0.0000, 0.2280], [0.0000, 0.0000, 0.7720], [0.5000, 0.5000, 0.0000], [0.5000, 0.5000, 0.5000]], "total_energy_ev_per_atom": -3.885, "e_above_lowest_polymorph_kj_per_mol_atoms": 1.24, "e_form_mev_per_atom": -136.9, "volume_a3_per_cell": 122, "spacegroup": "P4/mmm"}